VASP calculation (PBE-GGA) on Mg2Ge2Pt after structural relaxation.

Computed properties:
Fermi-level density of states, states/eV per atom: 0.560
E, eV per atom: -3.65
Density, Mg/m³: 7.0
Total magnetic moment, μB/cell: 0.000

a b c (Å): 7.439 7.439 3.346
angles (deg): 90.00 90.00 90.00
Element x y z (fractional)
Ge1 0.167 0.667 0.500
Ge2 0.667 0.833 0.500
Ge3 0.833 0.333 0.500
Ge4 0.333 0.167 0.500
Mg1 0.361 0.861 0.000
Mg2 0.861 0.639 0.000
Mg3 0.639 0.139 0.000
Mg4 0.139 0.361 0.000
Pt1 0.000 0.000 0.000
Pt2 0.500 0.500 0.000

VASP calculation (PBE-GGA) on TlMo5 after structural relaxation.

Computed properties:
Fermi-level density of states, states/eV per atom: 0.504
E, eV per atom: -9.12
Density, Mg/m³: 11.2
Total magnetic moment, μB/cell: 0.000

a b c (Å): 5.298 5.298 6.620
angles (deg): 72.01 72.01 35.17
Element x y z (fractional)
Tl1 0.000 0.000 0.000
Mo1 0.323 0.323 0.820
Mo2 0.000 0.000 0.500
Mo3 0.677 0.677 0.180
Mo4 0.671 0.671 0.650
Mo5 0.329 0.329 0.350

VASP calculation (PBE-GGA) on LiLa2Be3Ge4 after structural relaxation.

Computed properties:
Fermi-level density of states, states/eV per atom: 0.314
E, eV per atom: -4.61
Density, Mg/m³: 5.7
Total magnetic moment, μB/cell: 0.000

a b c (Å): 4.235 4.235 9.785
angles (deg): 90.00 90.00 90.00
Element x y z (fractional)
Li1 0.500 0.500 0.500
La1 0.500 0.000 0.248
La2 0.000 0.500 0.752
Be1 0.000 0.000 0.500
Be2 0.500 0.000 0.875
Be3 0.000 0.500 0.125
Ge1 0.500 0.500 0.000
Ge2 0.000 0.000 0.000
Ge3 0.500 0.000 0.637
Ge4 0.000 0.500 0.363

VASP calculation (PBE-GGA) on PrNb3O9 after structural relaxation.

Computed properties:
Fermi-level density of states, states/eV per atom: 0.000
E, eV per atom: -8.89
Density, Mg/m³: 5.4
Total magnetic moment, μB/cell: 0.000
Formation energy (no corrections), kJ/mol of atoms: -266.6

a b c (Å): 5.471 7.652 8.361
angles (deg): 90.00 91.99 90.00
Element x y z (fractional)
Pr1 0.034 0.250 0.434
Pr2 0.966 0.750 0.566
Nb1 0.000 0.000 0.000
Nb2 0.000 0.500 0.000
Nb3 0.477 0.492 0.700
Nb4 0.477 0.008 0.700
Nb5 0.523 0.992 0.300
Nb6 0.523 0.508 0.300
O1 0.085 0.250 0.984
O2 0.153 0.944 0.787
O3 0.153 0.556 0.787
O4 0.264 0.962 0.465
O5 0.264 0.538 0.465
O6 0.349 0.250 0.660
O7 0.320 0.951 0.121
O8 0.320 0.549 0.121
O9 0.441 0.250 0.311
O10 0.559 0.750 0.689
O11 0.680 0.049 0.879
O12 0.680 0.451 0.879
O13 0.651 0.750 0.340
O14 0.736 0.038 0.535
O15 0.736 0.462 0.535
O16 0.847 0.056 0.213
O17 0.847 0.444 0.213
O18 0.915 0.750 0.016

VASP calculation (PBE-GGA) on Ba4AlAg after structural relaxation.

Computed properties:
Fermi-level density of states, states/eV per atom: 1.553
E, eV per atom: -1.83
Density, Mg/m³: 4.3
Total magnetic moment, μB/cell: 0.001

a b c (Å): 7.197 7.197 7.197
angles (deg): 60.00 60.00 60.00
Element x y z (fractional)
Ba1 0.876 0.375 0.375
Ba2 0.375 0.375 0.876
Ba3 0.375 0.876 0.375
Ba4 0.375 0.375 0.375
Al1 0.000 0.000 0.000
Ag1 0.750 0.750 0.750

VASP calculation (PBE-GGA) on NdAg2Br5 after structural relaxation.

Computed properties:
Fermi-level density of states, states/eV per atom: 0.000
E, eV per atom: -3.41
Density, Mg/m³: 4.3
Total magnetic moment, μB/cell: 0.000
Formation energy (no corrections), kJ/mol of atoms: -101.7

a b c (Å): 5.872 7.601 7.690
angles (deg): 82.68 68.45 68.21
Element x y z (fractional)
Nd1 0.079 0.034 0.021
Ag1 0.571 0.506 0.080
Ag2 0.560 0.036 0.519
Br1 0.781 0.274 0.364
Br2 0.011 0.380 0.809
Br3 0.094 0.703 0.258
Br4 0.340 0.803 0.687
Br5 0.563 0.042 0.038